Record 1
Density functional theory data (PBE) for a relaxed KLiPd4 crystal.

Summary:
Total magnetic moment   0.0 μB/cell
ΔH_f (0 K)   -45 kJ/mol of formula units
SG   F-43m

Cell: 5.4360 5.4360 5.4360 Å, 60.00 60.00 60.00°
Closest atoms and distances in Å follow each position.
Sites, in units of the cell vectors:
Pd1 0.6255 0.6255 0.6255  6 Pd 2.71-2.73
K1 0.2500 0.2500 0.2500  12 Pd 3.19, 4 Li 3.33
Pd2 0.6255 0.6255 0.1236  6 Pd 2.71-2.73
Li1 0.0000 0.0000 0.0000  12 Pd 3.19, 4 K 3.33
Pd3 0.1236 0.6255 0.6255  6 Pd 2.71-2.73
Pd4 0.6255 0.1236 0.6255  6 Pd 2.71-2.73

Record 2
Density functional theory data (PBE) for a relaxed K2LiPd2 crystal.

Summary:
Total magnetic moment   0.0 μB/cell
ΔH_f (0 K)   20 kJ/mol of formula units
SG   P4/mbm

Cell: 6.8621 6.8621 5.3133 Å, 90.00 90.00 90.00°
Closest atoms and distances in Å follow each position.
Sites, in units of the cell vectors:
K1 0.3267 0.1733 0.5000  6 Pd 3.23-3.42, 5 K 3.36-3.59
Pd1 0.6377 0.1377 0.0000  2 Li 2.66, 1 Pd 2.67
Li1 0.0000 0.0000 0.0000  4 Pd 2.66
Pd2 0.1377 0.3623 0.0000  2 Li 2.66, 1 Pd 2.67
K2 0.6733 0.8267 0.5000  6 Pd 3.23-3.42, 5 K 3.36-3.59
Pd3 0.3623 0.8623 0.0000  2 Li 2.66, 1 Pd 2.67
Li2 0.5000 0.5000 0.0000  4 Pd 2.66
Pd4 0.8623 0.6377 0.0000  2 Li 2.66, 1 Pd 2.67
K3 0.1733 0.6733 0.5000  6 Pd 3.23-3.42, 5 K 3.36-3.59
K4 0.8267 0.3267 0.5000  6 Pd 3.23-3.42, 5 K 3.36-3.59

Record 3
Density functional theory data (PBE) for a relaxed KLi2Pd crystal.

Summary:
Total magnetic moment   0.0 μB/cell
ΔH_f (0 K)   47 kJ/mol of formula units
SG   R-3m

Cell: 3.3548 3.3548 10.6227 Å, 80.91 80.91 60.00°
Closest atoms and distances in Å follow each position.
Sites, in units of the cell vectors:
Li1 0.8881 0.8881 0.3358  3 Pd 2.59
K1 0.0000 0.0000 0.0000  6 K 3.35, 2 Li 3.51
Pd1 0.5000 0.5000 0.5000  6 Li 2.59
Li2 0.1119 0.1119 0.6642  3 Pd 2.59

Record 4
Density functional theory data (PBE) for a relaxed KLiPd2 crystal.

Summary:
Total magnetic moment   0.0 μB/cell
ΔH_f (0 K)   47 kJ/mol of formula units
SG   I-42d

Cell: 4.8782 4.8782 9.4024 Å, 74.96 74.96 90.00°
Closest atoms and distances in Å follow each position.
Sites, in units of the cell vectors:
Pd1 0.2873 0.1250 0.2500  2 Li 2.54, 2 Pd 2.58
Pd2 0.3750 0.7127 0.7500  2 Li 2.54, 2 Pd 2.58
Pd3 0.4627 0.6250 0.2500  2 Li 2.54, 2 Pd 2.58
K1 0.0000 0.0000 0.0000  4 Pd 3.21, 4 Li 3.45
Pd4 0.8750 0.5373 0.7500  2 Li 2.54, 2 Pd 2.58
Li1 0.2500 0.7500 0.5000  4 Pd 2.54
Li2 0.5000 0.5000 0.0000  4 Pd 2.54
K2 0.7500 0.2500 0.5000  4 Pd 3.21, 4 Li 3.45

Record 5
Density functional theory data (PBE) for a relaxed KLi2Pd2 crystal.

Summary:
Total magnetic moment   0.0 μB/cell
ΔH_f (0 K)   -79 kJ/mol of formula units
SG   P4/mbm

Cell: 8.0181 8.0181 2.8984 Å, 90.00 90.00 90.00°
Closest atoms and distances in Å follow each position.
Sites, in units of the cell vectors:
Pd1 0.1291 0.3709 0.0000  6 Li 2.68-2.88, 3 Pd 2.90-2.93
Li1 0.3487 0.1513 0.5000  6 Pd 2.68-2.88, 2 Li 2.90
K1 0.0000 0.0000 0.0000  2 K 2.90, 4 Pd 3.15
K2 0.5000 0.5000 0.0000  2 K 2.90, 4 Pd 3.15
Li2 0.8487 0.3487 0.5000  6 Pd 2.68-2.88, 2 Li 2.90
Li3 0.6513 0.8487 0.5000  6 Pd 2.68-2.88, 2 Li 2.90
Pd2 0.8709 0.6291 0.0000  6 Li 2.68-2.88, 3 Pd 2.90-2.93
Pd3 0.6291 0.1291 0.0000  6 Li 2.68-2.88, 3 Pd 2.90-2.93
Pd4 0.3709 0.8709 0.0000  6 Li 2.68-2.88, 3 Pd 2.90-2.93
Li4 0.1513 0.6513 0.5000  6 Pd 2.68-2.88, 2 Li 2.90

Record 6
Density functional theory data (PBE) for a relaxed K3LiPd crystal.

Summary:
Total magnetic moment   0.0 μB/cell
ΔH_f (0 K)   85 kJ/mol of formula units
SG   Pm-3m

Cell: 6.3353 6.3353 6.3353 Å, 90.00 90.00 90.00°
Closest atoms and distances in Å follow each position.
Sites, in units of the cell vectors:
K1 0.0000 0.0000 0.5000  2 Pd 3.17
Pd1 0.0000 0.0000 0.0000  6 K 3.17
Li1 0.5000 0.5000 0.5000  12 K 4.48
K2 0.5000 0.0000 0.0000  2 Pd 3.17
K3 0.0000 0.5000 0.0000  2 Pd 3.17

Record 7
Density functional theory data (PBE) for a relaxed KLiPd3 crystal.

Summary:
Total magnetic moment   0.0 μB/cell
ΔH_f (0 K)   533 kJ/mol of formula units
SG   Pm-3m

Cell: 5.1039 5.1039 5.1039 Å, 90.00 90.00 90.00°
Closest atoms and distances in Å follow each position.
Sites, in units of the cell vectors:
Pd1 0.0000 0.5000 0.0000  2 K 2.55
Li1 0.5000 0.5000 0.5000  12 Pd 3.61
Pd2 0.5000 0.0000 0.0000  2 K 2.55
K1 0.0000 0.0000 0.0000  6 Pd 2.55
Pd3 0.0000 0.0000 0.5000  2 K 2.55

Record 8
Density functional theory data (PBE) for a relaxed KLi2Pd2 crystal.

Summary:
Total magnetic moment   0.0 μB/cell
ΔH_f (0 K)   -88 kJ/mol of formula units
SG   P4/mbm

Cell: 8.0293 8.0293 2.8555 Å, 90.00 90.00 90.00°
Closest atoms and distances in Å follow each position.
Sites, in units of the cell vectors:
Li1 0.3703 0.8703 0.0000  6 Pd 2.69-2.85, 3 Li 2.86-2.94
K1 0.0000 0.0000 0.0000  2 K 2.86, 4 Li 3.15
Li2 0.8703 0.6297 0.0000  6 Pd 2.69-2.85, 3 Li 2.86-2.94
Li3 0.6297 0.1297 0.0000  6 Pd 2.69-2.85, 3 Li 2.86-2.94
K2 0.5000 0.5000 0.0000  2 K 2.86, 4 Li 3.15
Pd1 0.8470 0.3470 0.5000  6 Li 2.69-2.85, 2 Pd 2.86
Pd2 0.6530 0.8470 0.5000  6 Li 2.69-2.85, 2 Pd 2.86
Pd3 0.1530 0.6530 0.5000  6 Li 2.69-2.85, 2 Pd 2.86
Pd4 0.3470 0.1530 0.5000  6 Li 2.69-2.85, 2 Pd 2.86
Li4 0.1297 0.3703 0.0000  6 Pd 2.69-2.85, 3 Li 2.86-2.94

Record 9
Density functional theory data (PBE) for a relaxed KLi2PdRu crystal.

Summary:
Total magnetic moment   2.9 μB/cell
ΔH_f (0 K)   484 kJ/mol of formula units
SG   P4/mmm

Cell: 4.8376 5.7280 4.8376 Å, 90.00 90.00 90.00°
Closest atoms and distances in Å follow each position.
Sites, in units of the cell vectors:
Pd1 0.0000 0.0000 0.0000  4 Li 2.42
Li1 0.0000 0.0000 0.5000  2 Pd 2.42
K1 0.0000 0.5000 0.0000  2 Pd 2.86
Ru1 0.5000 0.5000 0.5000  4 K 3.42, 8 Li 3.75
Li2 0.5000 0.0000 0.0000  2 Pd 2.42

Record 10
Density functional theory data (PBE) for a relaxed KLi2SiPd crystal.

Summary:
Total magnetic moment   0.0 μB/cell
E_tot   -3.311 eV/atom
SG   P4/mmm

Cell: 5.0433 5.0433 4.6049 Å, 90.00 90.00 90.00°
Closest atoms and distances in Å follow each position.
Sites, in units of the cell vectors:
Pd1 0.0000 0.0000 0.0000  2 Si 2.30, 4 Li 2.52
K1 0.5000 0.5000 0.5000  8 Li 3.41, 4 Si 3.57
Li1 0.5000 0.0000 0.0000  2 Pd 2.52
Si1 0.0000 0.0000 0.5000  2 Pd 2.30
Li2 0.0000 0.5000 0.0000  2 Pd 2.52

Record 11
Density functional theory data (PBE) for a relaxed KLi2SnPd crystal.

Summary:
Total magnetic moment   0.0 μB/cell
ΔH_f (0 K)   -126 kJ/mol of formula units
SG   P4/mmm

Cell: 5.1275 5.1275 5.0808 Å, 90.00 90.00 90.00°
Closest atoms and distances in Å follow each position.
Sites, in units of the cell vectors:
K1 0.5000 0.5000 0.5000  8 Li 3.61, 4 Sn 3.63
Sn1 0.0000 0.0000 0.5000  2 Pd 2.54
Li1 0.5000 0.0000 0.0000  2 Pd 2.56
Pd1 0.0000 0.0000 0.0000  2 Sn 2.54, 4 Li 2.56
Li2 0.0000 0.5000 0.0000  2 Pd 2.56

Record 12
Density functional theory data (PBE) for a relaxed KSrLi2Pd crystal.

Summary:
Total magnetic moment   0.0 μB/cell
ΔH_f (0 K)   -29 kJ/mol of formula units
SG   P4/mmm

Cell: 5.4273 5.4273 5.7080 Å, 90.00 90.00 90.00°
Closest atoms and distances in Å follow each position.
Sites, in units of the cell vectors:
K1 0.5000 0.5000 0.5000  4 Sr 3.84, 8 Li 3.94
Pd1 0.0000 0.0000 0.0000  4 Li 2.71, 2 Sr 2.85
Sr1 0.0000 0.0000 0.5000  2 Pd 2.85
Li1 0.5000 0.0000 0.0000  2 Pd 2.71
Li2 0.0000 0.5000 0.0000  2 Pd 2.71

Record 13
Density functional theory data (PBE) for a relaxed KLiTc2Pd crystal.

Summary:
Total magnetic moment   6.0 μB/cell
ΔH_f (0 K)   1200 kJ/mol of formula units
SG   P4/mmm

Cell: 4.9529 5.0324 4.9529 Å, 90.00 90.00 90.00°
Closest atoms and distances in Å follow each position.
Sites, in units of the cell vectors:
Tc1 0.5000 0.0000 0.0000  2 K 2.48
Li1 0.5000 0.5000 0.5000  4 Pd 3.50, 8 Tc 3.53
K1 0.0000 0.0000 0.0000  4 Tc 2.48, 2 Pd 2.52
Tc2 0.0000 0.0000 0.5000  2 K 2.48
Pd1 0.0000 0.5000 0.0000  2 K 2.52

Record 14
Density functional theory data (PBE) for a relaxed K2LiTl6Pd crystal.

Summary:
Total magnetic moment   0.0 μB/cell
ΔH_f (0 K)   -76 kJ/mol of formula units
SG   Immm

Cell: 7.6544 7.6554 7.6365 Å, 60.07 60.07 90.03°
Closest atoms and distances in Å follow each position.
Sites, in units of the cell vectors:
Tl1 0.7541 0.2457 0.0000  1 Li 2.66, 1 Pd 2.75
Pd1 0.5000 0.5000 0.0000  6 Tl 2.75
K1 0.7502 0.2500 0.4998  12 Tl 3.82-3.83
Tl2 0.7539 0.7539 0.0002  1 Li 2.66, 1 Pd 2.75
Tl3 0.2461 0.2461 0.5080  1 Li 2.66, 1 Pd 2.75
Tl4 0.2461 0.2461 0.9998  1 Li 2.66, 1 Pd 2.75
Tl5 0.2459 0.7543 0.0000  1 Li 2.66, 1 Pd 2.75
Li1 0.0000 0.0000 0.0000  6 Tl 2.66
K2 0.2498 0.7500 0.5002  12 Tl 3.82-3.83
Tl6 0.7539 0.7539 0.4921  1 Li 2.66, 1 Pd 2.75

Record 15
Density functional theory data (PBE) for a relaxed KLi2TlPd crystal.

Summary:
Total magnetic moment   0.0 μB/cell
ΔH_f (0 K)   -76 kJ/mol of formula units
SG   P4/mmm

Cell: 5.0937 5.0937 5.2986 Å, 90.00 90.00 90.00°
Closest atoms and distances in Å follow each position.
Sites, in units of the cell vectors:
Pd1 0.0000 0.0000 0.0000  4 Li 2.55, 2 Tl 2.65
Li1 0.5000 0.0000 0.0000  2 Pd 2.55
Tl1 0.0000 0.0000 0.5000  2 Pd 2.65
Li2 0.0000 0.5000 0.0000  2 Pd 2.55
K1 0.5000 0.5000 0.5000  4 Tl 3.60, 8 Li 3.67

Record 16
Density functional theory data (PBE) for a relaxed KLiZn2Pd crystal.

Summary:
Total magnetic moment   0.0 μB/cell
ΔH_f (0 K)   -77 kJ/mol of formula units
SG   P4/mmm

Cell: 4.9693 4.9693 4.9335 Å, 90.00 90.00 90.00°
Closest atoms and distances in Å follow each position.
Sites, in units of the cell vectors:
K1 0.5000 0.5000 0.5000  8 Zn 3.50, 4 Li 3.51
Zn1 0.5000 0.0000 0.0000  2 Pd 2.48
Li1 0.0000 0.0000 0.5000  2 Pd 2.47
Pd1 0.0000 0.0000 0.0000  2 Li 2.47, 4 Zn 2.48
Zn2 0.0000 0.5000 0.0000  2 Pd 2.48

Record 17
Density functional theory data (PBE) for a relaxed KLiPm2S4 crystal.

Summary:
Total magnetic moment   0.0 μB/cell
E_tot   -5.462 eV/atom
SG   Cmcm

Cell: 4.1307 7.1827 14.2095 Å, 90.00 90.00 106.71°
Closest atoms and distances in Å follow each position.
Sites, in units of the cell vectors:
S1 0.7383 0.4767 0.6097  1 Li 2.40
S2 0.2616 0.5233 0.1097  1 Li 2.40
S3 0.0000 0.0000 0.5000  4 Pm 2.90
Pm1 0.6339 0.2678 0.4391  6 S 2.80-2.90
Pm2 0.6339 0.2678 0.0609  6 S 2.80-2.90
S4 0.0000 0.0000 0.0000  4 Pm 2.90
S5 0.2616 0.5233 0.3903  1 Li 2.40
Li1 0.8352 0.6704 0.7500  4 S 2.40-2.41
S6 0.4256 0.8511 0.7500  2 Li 2.41
K1 0.8937 0.7874 0.2500  6 S 3.23-3.40
S7 0.5744 0.1489 0.2500  2 Li 2.41
Li2 0.1648 0.3296 0.2500  4 S 2.40-2.41
K2 0.1063 0.2126 0.7500  6 S 3.23-3.40
Pm3 0.3661 0.7322 0.9391  6 S 2.80-2.90
Pm4 0.3661 0.7322 0.5609  6 S 2.80-2.90
S8 0.7383 0.4767 0.8903  1 Li 2.40

Record 18
Density functional theory data (PBE) for a relaxed KLiPm2Te4 crystal.

Summary:
Total magnetic moment   0.0 μB/cell
E_tot   -4.482 eV/atom
SG   Cmcm

Cell: 4.5568 7.9206 15.9302 Å, 90.00 90.00 106.72°
Closest atoms and distances in Å follow each position.
Sites, in units of the cell vectors:
Pm1 0.3661 0.7323 0.9364  6 Te 3.15-3.22
Pm2 0.6339 0.2677 0.4364  6 Te 3.15-3.22
Te1 0.0000 0.0000 0.5000  4 Pm 3.22
Pm3 0.6339 0.2677 0.0636  6 Te 3.15-3.22
K1 0.8874 0.7748 0.2500  6 Te 3.51-3.65
K2 0.1126 0.2252 0.7500  6 Te 3.51-3.65
Te2 0.0000 0.0000 0.0000  4 Pm 3.22
Te3 0.2679 0.5358 0.1116  1 Li 2.74
Li1 0.8393 0.6785 0.7500  4 Te 2.72-2.74
Te4 0.7321 0.4642 0.8884  1 Li 2.74
Te5 0.5632 0.1264 0.2500  2 Li 2.72
Te6 0.7321 0.4642 0.6116  1 Li 2.74
Li2 0.1607 0.3215 0.2500  4 Te 2.72-2.74
Te7 0.2679 0.5358 0.3884  1 Li 2.74
Pm4 0.3661 0.7323 0.5636  6 Te 3.15-3.22
Te8 0.4368 0.8736 0.7500  2 Li 2.72

Record 19
Density functional theory data (PBE) for a relaxed KLiPr2S4 crystal.

Summary:
Total magnetic moment   0.0 μB/cell
E_tot   -5.388 eV/atom
SG   Imma

Cell: 8.4057 8.4057 8.2780 Å, 119.50 119.50 90.36°
Closest atoms and distances in Å follow each position.
Sites, in units of the cell vectors:
S1 0.7406 0.7594 0.4922  3 Pr 2.87-2.92, 2 Li 3.01, 1 K 3.09
S2 0.2778 0.7624 0.0201  3 Pr 2.84-2.89, 1 Li 3.08, 2 K 3.09
S3 0.7376 0.2222 0.4799  3 Pr 2.84-2.89, 1 Li 3.08, 2 K 3.09
S4 0.2594 0.2406 0.5078  3 Pr 2.87-2.92, 2 Li 3.01, 1 K 3.09
K1 0.0000 0.5000 0.5000  6 S 3.09
Pr1 0.0000 0.0000 0.5000  6 S 2.89-2.92
Li1 0.5000 0.5000 0.5000  6 S 3.01-3.08
Li2 0.0000 0.0000 0.0000  6 S 3.01-3.08
S5 0.7406 0.7594 0.0078  3 Pr 2.87-2.92, 2 Li 3.01, 1 K 3.09
S6 0.2594 0.2406 0.9922  3 Pr 2.87-2.92, 2 Li 3.01, 1 K 3.09
S7 0.7222 0.2376 0.9799  3 Pr 2.84-2.89, 1 Li 3.08, 2 K 3.09
K2 0.0000 0.5000 0.0000  6 S 3.09
Pr2 0.5000 0.0000 0.5000  6 S 2.84-2.87
S8 0.2624 0.7778 0.5201  3 Pr 2.84-2.89, 1 Li 3.08, 2 K 3.09
Pr3 0.5000 0.0000 0.0000  6 S 2.84-2.87
Pr4 0.5000 0.5000 0.0000  6 S 2.89-2.92

Record 20
Density functional theory data (PBE) for a relaxed KLiPr2Te4 crystal.

Summary:
Total magnetic moment   0.0 μB/cell
E_tot   -4.494 eV/atom
SG   Cmcm

Cell: 4.6085 8.0040 16.0663 Å, 90.00 90.00 106.73°
Closest atoms and distances in Å follow each position.
Sites, in units of the cell vectors:
Li1 0.8403 0.6805 0.7500  4 Te 2.74-2.75
Pr1 0.6341 0.2683 0.0632  6 Te 3.19-3.25
Pr2 0.3659 0.7317 0.5632  6 Te 3.19-3.25
K1 0.1114 0.2229 0.7500  6 Te 3.53-3.68
Te1 0.7321 0.4642 0.8869  1 Li 2.75
Te2 0.7321 0.4642 0.6131  1 Li 2.75
Te3 0.0000 0.0000 0.0000  4 Pr 3.25
Te4 0.5633 0.1266 0.2500  2 Li 2.74
Pr3 0.6341 0.2683 0.4368  6 Te 3.19-3.25
Te5 0.0000 0.0000 0.5000  4 Pr 3.25
K2 0.8886 0.7771 0.2500  6 Te 3.53-3.68
Te6 0.4367 0.8734 0.7500  2 Li 2.74
Te7 0.2679 0.5358 0.1131  1 Li 2.75
Li2 0.1597 0.3195 0.2500  4 Te 2.74-2.75
Pr4 0.3659 0.7317 0.9368  6 Te 3.19-3.25
Te8 0.2679 0.5358 0.3869  1 Li 2.75